(1)
SCAN SrRuW, PBEsol geometry; ΔH_f (0 K) = 548.9 meV per atom; E_tot = -41.714 eV/atom
1.0
3.2097 0.0000 0.0000
0.0000 3.2097 0.0000
-1.6049 -1.6049 6.1095
W Sr Ru
1 1 1
Cartesian
1.6049 1.6049 1.5445
0.0000 0.0000 4.0991
0.0000 0.0000 0.4660

=====

(2)
SCAN Cs3HgS, PBEsol geometry; E_form (uncorrected) = -0.21 eV/atom; E_tot = -38.457 eV/atom
1.0
6.5143 0.0000 0.0000
0.0000 6.5143 0.0000
0.0000 0.0000 6.5143
Hg S Cs
1 1 3
Cartesian
0.0000 0.0000 0.0000
3.2571 3.2571 3.2571
3.2571 0.0000 0.0000
0.0000 3.2571 0.0000
0.0000 0.0000 3.2571

=====

(3)
SCAN LiMg, PBEsol geometry; ΔH_f (0 K) = 10.8 meV per atom; E_tot = -3.671 eV/atom
1.0
-1.7362 1.9211 1.5204
-3.9445 -2.6647 -1.1372
1.5920 -4.0522 3.9730
Li Mg
2 2
Cartesian
-3.3513 -3.0671 3.0139
-0.7373 -1.7287 1.3424
-3.7182 -1.5002 0.6149
-0.3704 -3.2956 3.7414

=====

(4)
SCAN CdFeTe2, PBEsol geometry; E_form (uncorrected) = 0.38 eV/atom; E_tot = -30.380 eV/atom
1.0
3.6917 0.0000 0.0000
0.0000 4.9499 0.0096
0.0000 -0.9723 4.8535
Te Fe Cd
2 1 1
Cartesian
0.0000 -0.4862 2.4267
0.0000 2.4750 0.0048
1.8458 1.9888 2.4315
1.8458 0.0000 0.0000

=====

How do the records compare in magnetization? In the order shown, they have 0.000; 0.001; 0.015; 0.768 μB/atom.